1.
# ScNiSe, relaxed, DFT PBE-GGA
# Energy relative to the elements, uncorrected: -0.6211 eV/atom
data_ScNiSe
_symmetry_space_group_name_H-M 'I 4 m m'
_symmetry_Int_Tables_number 107
_symmetry_space_group_name_Hall 'I 4 -2'
_cell_length_a 3.5424
_cell_length_b 3.5424
_cell_length_c 8.0930
_cell_angle_alpha 90.00
_cell_angle_beta 90.00
_cell_angle_gamma 90.00
loop_
_atom_site_label
_atom_site_type_symbol
_atom_site_fract_x
_atom_site_fract_y
_atom_site_fract_z
_atom_site_occupancy
Sc1 Sc 0.0000 0.0000 0.0000 1
Ni1 Ni 0.0000 0.0000 0.3441 1
Se1 Se 0.0000 0.0000 0.6509 1

***

2.
# ScNiSe4, relaxed, DFT PBE-GGA
# Energy relative to the elements, uncorrected: 0.4322 eV/atom
data_ScNiSe4
_symmetry_space_group_name_H-M 'F -4 3 m'
_symmetry_Int_Tables_number 216
_symmetry_space_group_name_Hall 'F -4 2 3'
_cell_length_a 7.8716
_cell_length_b 7.8716
_cell_length_c 7.8716
_cell_angle_alpha 90.00
_cell_angle_beta 90.00
_cell_angle_gamma 90.00
loop_
_atom_site_label
_atom_site_type_symbol
_atom_site_fract_x
_atom_site_fract_y
_atom_site_fract_z
_atom_site_occupancy
Sc1 Sc 0.0000 0.0000 0.0000 1
Ni1 Ni 0.2500 0.2500 0.2500 1
Se1 Se 0.1244 0.1244 0.6244 1

***

3.
# ScNi2Se, relaxed, DFT PBE-GGA
# Energy relative to the elements, uncorrected: -0.3953 eV/atom
data_ScNi2Se
_symmetry_space_group_name_H-M 'P 4 m m'
_symmetry_Int_Tables_number 99
_symmetry_space_group_name_Hall 'P 4 -2'
_cell_length_a 3.4122
_cell_length_b 3.4122
_cell_length_c 5.3698
_cell_angle_alpha 90.00
_cell_angle_beta 90.00
_cell_angle_gamma 90.00
loop_
_atom_site_label
_atom_site_type_symbol
_atom_site_fract_x
_atom_site_fract_y
_atom_site_fract_z
_atom_site_occupancy
Sc1 Sc 0.0000 0.0000 0.0000 1
Ni1 Ni 0.0000 0.0000 0.5554 1
Ni2 Ni 0.5000 0.5000 0.6988 1
Se1 Se 0.5000 0.5000 0.2431 1

***

4.
# ScNi2Se, relaxed, DFT PBE-GGA
# Energy relative to the elements, uncorrected: -0.3737 eV/atom
data_ScNi2Se
_symmetry_space_group_name_H-M 'I -4 2 d'
_symmetry_Int_Tables_number 122
_symmetry_space_group_name_Hall 'I -4 2bw'
_cell_length_a 3.7716
_cell_length_b 3.7716
_cell_length_c 17.6085
_cell_angle_alpha 90.00
_cell_angle_beta 90.00
_cell_angle_gamma 90.00
loop_
_atom_site_label
_atom_site_type_symbol
_atom_site_fract_x
_atom_site_fract_y
_atom_site_fract_z
_atom_site_occupancy
Sc1 Sc 0.0000 0.0000 0.0000 1
Ni1 Ni 0.2272 0.2500 0.6250 1
Se1 Se 0.0000 0.0000 0.5000 1

***

5.
# Sc2NiSe, relaxed, DFT PBE-GGA
# Energy relative to the elements, uncorrected: -0.6300 eV/atom
data_Sc2NiSe
_symmetry_space_group_name_H-M 'I 4/m m m'
_symmetry_Int_Tables_number 139
_symmetry_space_group_name_Hall '-I 4 2'
_cell_length_a 4.3617
_cell_length_b 4.3617
_cell_length_c 7.4213
_cell_angle_alpha 90.00
_cell_angle_beta 90.00
_cell_angle_gamma 90.00
loop_
_atom_site_label
_atom_site_type_symbol
_atom_site_fract_x
_atom_site_fract_y
_atom_site_fract_z
_atom_site_occupancy
Sc1 Sc 0.0000 0.5000 0.2500 1
Ni1 Ni 0.0000 0.0000 0.0000 1
Se1 Se 0.0000 0.0000 0.5000 1

***

6.
# ScNiSe, relaxed, DFT PBE-GGA
# Energy relative to the elements, uncorrected: -0.7022 eV/atom
data_ScNiSe
_symmetry_space_group_name_H-M 'F -4 3 m'
_symmetry_Int_Tables_number 216
_symmetry_space_group_name_Hall 'F -4 2 3'
_cell_length_a 5.9194
_cell_length_b 5.9194
_cell_length_c 5.9194
_cell_angle_alpha 90.00
_cell_angle_beta 90.00
_cell_angle_gamma 90.00
loop_
_atom_site_label
_atom_site_type_symbol
_atom_site_fract_x
_atom_site_fract_y
_atom_site_fract_z
_atom_site_occupancy
Sc1 Sc 0.0000 0.0000 0.0000 1
Ni1 Ni 0.2500 0.2500 0.2500 1
Se1 Se 0.0000 0.0000 0.5000 1

***

7.
# SrSc2NiSe, relaxed, DFT PBE-GGA
# Energy relative to the elements, uncorrected: 1.3887 eV/atom
data_SrSc2NiSe
_symmetry_space_group_name_H-M 'P 4/m m m'
_symmetry_Int_Tables_number 123
_symmetry_space_group_name_Hall '-P 4 2'
_cell_length_a 5.5459
_cell_length_b 5.5459
_cell_length_c 5.3077
_cell_angle_alpha 90.00
_cell_angle_beta 90.00
_cell_angle_gamma 90.00
loop_
_atom_site_label
_atom_site_type_symbol
_atom_site_fract_x
_atom_site_fract_y
_atom_site_fract_z
_atom_site_occupancy
Sr1 Sr 0.0000 0.0000 0.0000 1
Sc1 Sc 0.0000 0.5000 0.0000 1
Ni1 Ni 0.5000 0.5000 0.5000 1
Se1 Se 0.0000 0.0000 0.5000 1

***

8.
# ZrSc2NiSe, relaxed, DFT PBE-GGA
# Energy relative to the elements, uncorrected: 0.8134 eV/atom
data_ZrSc2NiSe
_symmetry_space_group_name_H-M 'P 4/m m m'
_symmetry_Int_Tables_number 123
_symmetry_space_group_name_Hall '-P 4 2'
_cell_length_a 5.2484
_cell_length_b 5.2484
_cell_length_c 4.9404
_cell_angle_alpha 90.00
_cell_angle_beta 90.00
_cell_angle_gamma 90.00
loop_
_atom_site_label
_atom_site_type_symbol
_atom_site_fract_x
_atom_site_fract_y
_atom_site_fract_z
_atom_site_occupancy
Zr1 Zr 0.0000 0.0000 0.0000 1
Sc1 Sc 0.0000 0.5000 0.0000 1
Ni1 Ni 0.5000 0.5000 0.5000 1
Se1 Se 0.0000 0.0000 0.5000 1

***

9.
# Sc3Si5Ni6, relaxed, DFT PBE-GGA
# Energy relative to the elements, uncorrected: -0.7851 eV/atom
data_Sc3Si5Ni6
_symmetry_space_group_name_H-M 'P m m n'
_symmetry_Int_Tables_number 59
_cell_length_a 3.8084
_cell_length_b 11.6841
_cell_length_c 8.6033
_cell_angle_alpha 90.00
_cell_angle_beta 90.00
_cell_angle_gamma 90.00
loop_
_symmetry_equiv_pos_as_xyz
'x,y,z'
'-x,-y,-z'
'-x+1/2,-y+1/2,z'
'x+1/2,y+1/2,-z'
'x+1/2,-y,-z'
'-x+1/2,y,z'
'-x,y+1/2,-z'
'x,-y+1/2,z'
loop_
_atom_site_label
_atom_site_type_symbol
_atom_site_fract_x
_atom_site_fract_y
_atom_site_fract_z
_atom_site_occupancy
Sc1 Sc 0.2500 0.0717 0.2418 1
Sc2 Sc 0.2500 0.7500 0.2542 1
Si1 Si 0.2500 0.0873 0.8526 1
Si2 Si 0.2500 0.6351 0.5387 1
Si3 Si 0.2500 0.7500 0.8240 1
Ni1 Ni 0.2500 0.0589 0.5849 1
Ni2 Ni 0.2500 0.2500 0.0093 1
Ni3 Ni 0.2500 0.2500 0.4725 1
Ni4 Ni 0.2500 0.5857 0.9978 1

***

10.
# Sc6SiNi2, relaxed, DFT PBE-GGA
# Energy relative to the elements, uncorrected: -0.4357 eV/atom
data_Sc6SiNi2
_symmetry_space_group_name_H-M 'I m m m'
_symmetry_Int_Tables_number 71
_symmetry_space_group_name_Hall '-I 2 2'
_cell_length_a 8.6781
_cell_length_b 8.7085
_cell_length_c 9.2589
_cell_angle_alpha 90.00
_cell_angle_beta 90.00
_cell_angle_gamma 90.00
loop_
_atom_site_label
_atom_site_type_symbol
_atom_site_fract_x
_atom_site_fract_y
_atom_site_fract_z
_atom_site_occupancy
Sc1 Sc 0.0000 0.1973 0.2369 1
Sc2 Sc 0.2003 0.5000 0.1731 1
Sc3 Sc 0.2168 0.3180 0.5000 1
Si1 Si 0.0000 0.0000 0.0000 1
Si2 Si 0.0000 0.0000 0.5000 1
Ni1 Ni 0.0000 0.3449 0.0000 1
Ni2 Ni 0.0000 0.5000 0.3711 1

***

11.
# ScSi2Ni5, relaxed, DFT PBE-GGA
# Energy relative to the elements, uncorrected: -0.5811 eV/atom
data_ScSi2Ni5
_symmetry_space_group_name_H-M 'I m m m'
_symmetry_Int_Tables_number 71
_symmetry_space_group_name_Hall '-I 2 2'
_cell_length_a 3.4329
_cell_length_b 6.6229
_cell_length_c 8.9856
_cell_angle_alpha 90.00
_cell_angle_beta 90.00
_cell_angle_gamma 90.00
loop_
_atom_site_label
_atom_site_type_symbol
_atom_site_fract_x
_atom_site_fract_y
_atom_site_fract_z
_atom_site_occupancy
Sc1 Sc 0.0000 0.0000 0.0000 1
Si1 Si 0.0000 0.5000 0.2518 1
Ni1 Ni 0.0000 0.1916 0.3551 1
Ni2 Ni 0.0000 0.5000 0.0000 1

***

12.
# Sc2Si4Ni3, relaxed, DFT PBE-GGA
# Energy relative to the elements, uncorrected: -0.7648 eV/atom
data_Sc2Si4Ni3
_symmetry_space_group_name_H-M 'C m c e'
_symmetry_Int_Tables_number 64
_symmetry_space_group_name_Hall '-C 2ac 2'
_cell_length_a 5.2056
_cell_length_b 13.8341
_cell_length_c 6.8538
_cell_angle_alpha 90.00
_cell_angle_beta 90.00
_cell_angle_gamma 90.00
loop_
_atom_site_label
_atom_site_type_symbol
_atom_site_fract_x
_atom_site_fract_y
_atom_site_fract_z
_atom_site_occupancy
Sc1 Sc 0.0000 0.1049 0.0980 1
Si1 Si 0.0000 0.1789 0.4794 1
Si2 Si 0.2500 0.0639 0.7500 1
Ni1 Ni 0.0000 0.0000 0.5000 1
Ni2 Ni 0.2500 0.2318 0.7500 1

***

13.
# ScSi2Ni, relaxed, DFT PBE-GGA
# Energy relative to the elements, uncorrected: -0.2933 eV/atom
data_ScSi2Ni
_symmetry_space_group_name_H-M 'I m m m'
_symmetry_Int_Tables_number 71
_symmetry_space_group_name_Hall '-I 2 2'
_cell_length_a 2.6791
_cell_length_b 5.1235
_cell_length_c 8.7628
_cell_angle_alpha 90.00
_cell_angle_beta 90.00
_cell_angle_gamma 90.00
loop_
_atom_site_label
_atom_site_type_symbol
_atom_site_fract_x
_atom_site_fract_y
_atom_site_fract_z
_atom_site_occupancy
Sc1 Sc 0.0000 0.0000 0.0000 1
Si1 Si 0.0000 0.5000 0.2170 1
Ni1 Ni 0.0000 0.0000 0.5000 1

***

14.
# ScSi2Ni, relaxed, DFT PBE-GGA
# Energy relative to the elements, uncorrected: -0.1819 eV/atom
data_ScSi2Ni
_symmetry_space_group_name_H-M 'R -3 m'
_symmetry_Int_Tables_number 166
_symmetry_space_group_name_Hall '-R 3 2"'
_cell_length_a 2.8687
_cell_length_b 2.8687
_cell_length_c 24.8517
_cell_angle_alpha 90.00
_cell_angle_beta 90.00
_cell_angle_gamma 120.00
loop_
_atom_site_label
_atom_site_type_symbol
_atom_site_fract_x
_atom_site_fract_y
_atom_site_fract_z
_atom_site_occupancy
Sc1 Sc 0.0000 0.0000 0.0000 1
Si1 Si 0.0000 0.0000 0.2383 1
Ni1 Ni 0.0000 0.0000 0.5000 1

***

15.
# ScSi2Ni2, relaxed, DFT PBE-GGA
# Energy relative to the elements, uncorrected: -0.7948 eV/atom
data_ScSi2Ni2
_symmetry_space_group_name_H-M 'I 4/m m m'
_symmetry_Int_Tables_number 139
_symmetry_space_group_name_Hall '-I 4 2'
_cell_length_a 3.8215
_cell_length_b 3.8215
_cell_length_c 9.5842
_cell_angle_alpha 90.00
_cell_angle_beta 90.00
_cell_angle_gamma 90.00
loop_
_atom_site_label
_atom_site_type_symbol
_atom_site_fract_x
_atom_site_fract_y
_atom_site_fract_z
_atom_site_occupancy
Sc1 Sc 0.0000 0.0000 0.0000 1
Si1 Si 0.0000 0.0000 0.3790 1
Ni1 Ni 0.0000 0.5000 0.2500 1

***

16.
# ScSi3Ni, relaxed, DFT PBE-GGA
# Energy relative to the elements, uncorrected: 1.3389 eV/atom
data_ScSi3Ni
_symmetry_space_group_name_H-M 'P m -3 m'
_symmetry_Int_Tables_number 221
_symmetry_space_group_name_Hall '-P 4 2 3'
_cell_length_a 4.9116
_cell_length_b 4.9116
_cell_length_c 4.9116
_cell_angle_alpha 90.00
_cell_angle_beta 90.00
_cell_angle_gamma 90.00
loop_
_atom_site_label
_atom_site_type_symbol
_atom_site_fract_x
_atom_site_fract_y
_atom_site_fract_z
_atom_site_occupancy
Sc1 Sc 0.0000 0.0000 0.0000 1
Si1 Si 0.0000 0.0000 0.5000 1
Ni1 Ni 0.5000 0.5000 0.5000 1

***

17.
# ScSi2Ni, relaxed, DFT PBE-GGA
# Energy relative to the elements, uncorrected: -0.2615 eV/atom
data_ScSi2Ni
_symmetry_space_group_name_H-M 'I -4 2 d'
_symmetry_Int_Tables_number 122
_symmetry_space_group_name_Hall 'I -4 2bw'
_cell_length_a 4.2884
_cell_length_b 4.2884
_cell_length_c 15.4407
_cell_angle_alpha 90.00
_cell_angle_beta 90.00
_cell_angle_gamma 90.00
loop_
_atom_site_label
_atom_site_type_symbol
_atom_site_fract_x
_atom_site_fract_y
_atom_site_fract_z
_atom_site_occupancy
Sc1 Sc 0.0000 0.0000 0.0000 1
Si1 Si 0.1205 0.2500 0.6250 1
Ni1 Ni 0.0000 0.0000 0.5000 1

***

18.
# ScSiNi2, relaxed, DFT PBE-GGA
# Energy relative to the elements, uncorrected: -0.5780 eV/atom
data_ScSiNi2
_symmetry_space_group_name_H-M 'R 3 m'
_symmetry_Int_Tables_number 160
_symmetry_space_group_name_Hall 'R 3 -2"'
_cell_length_a 3.9106
_cell_length_b 3.9106
_cell_length_c 13.4162
_cell_angle_alpha 90.00
_cell_angle_beta 90.00
_cell_angle_gamma 120.00
loop_
_atom_site_label
_atom_site_type_symbol
_atom_site_fract_x
_atom_site_fract_y
_atom_site_fract_z
_atom_site_occupancy
Sc1 Sc 0.0000 0.0000 0.0000 1
Si1 Si 0.0000 0.0000 0.2003 1
Ni1 Ni 0.0000 0.0000 0.5536 1
Ni2 Ni 0.0000 0.0000 0.7971 1

***

19.
# Sc2Si3Ni9, relaxed, DFT PBE-GGA
# Energy relative to the elements, uncorrected: -0.6424 eV/atom
data_Sc2Si3Ni9
_symmetry_space_group_name_H-M 'C 1 2/c 1'
_symmetry_Int_Tables_number 15
_symmetry_space_group_name_Hall '-C 2yc'
_cell_length_a 12.1206
_cell_length_b 6.9762
_cell_length_c 9.0889
_cell_angle_alpha 90.00
_cell_angle_beta 116.02
_cell_angle_gamma 90.00
loop_
_atom_site_label
_atom_site_type_symbol
_atom_site_fract_x
_atom_site_fract_y
_atom_site_fract_z
_atom_site_occupancy
Sc1 Sc 0.1702 0.0843 0.2501 1
Si1 Si 0.0880 0.2339 0.5002 1
Si2 Si 0.2500 0.2500 0.0000 1
Ni1 Ni 0.0000 0.3746 0.2500 1
Ni2 Ni 0.0573 0.0839 0.9204 1
Ni3 Ni 0.1001 0.4159 0.0545 1
Ni4 Ni 0.1012 0.3195 0.7475 1
Ni5 Ni 0.2232 0.4163 0.4234 1

***

20.
# ScSiNi, relaxed, DFT PBE-GGA
# Energy relative to the elements, uncorrected: -0.6410 eV/atom
data_ScSiNi
_symmetry_space_group_name_H-M 'F -4 3 m'
_symmetry_Int_Tables_number 216
_symmetry_space_group_name_Hall 'F -4 2 3'
_cell_length_a 5.8190
_cell_length_b 5.8190
_cell_length_c 5.8190
_cell_angle_alpha 90.00
_cell_angle_beta 90.00
_cell_angle_gamma 90.00
loop_
_atom_site_label
_atom_site_type_symbol
_atom_site_fract_x
_atom_site_fract_y
_atom_site_fract_z
_atom_site_occupancy
Sc1 Sc 0.0000 0.0000 0.0000 1
Si1 Si 0.0000 0.0000 0.5000 1
Ni1 Ni 0.2500 0.2500 0.2500 1

***

Q: Which total magnetic moment values were calculated for the entries above? A: 0.0, 0.8, 0.3, 0.0, 0.0, 0.0, 0.0, 0.0, 0.0, 0.0, 0.0, 0.0, 0.0, 0.0, 0.0, 1.1, 0.0, 0.0, 0.0, 0.0, in μB/cell.